[1]
Here is a relaxed HoCdAs2 crystal from the Alexandria database. Energies are from PBE.

```
HoCdAs2
1.0
4.1972 0.0000 0.0000
2.0986 3.6348 0.0000
2.0986 1.2116 6.2891
As Cd Ho
2 1 1
Cartesian
2.0986 1.2116 1.5740
6.2957 3.6348 4.7151
0.0000 0.0000 0.0000
4.1972 2.4232 3.1446
```

Summary:
The space group is R-3m, No. 166. As for the total magnetic moment: 0.00 μB per formula unit. For the volume, the calculation gives 23.987 A^3/atom. For the total energy, the calculation gives -17.0 eV/cell. The energy of formation comes out at -54.5 kJ per mole of atoms.



[2]
Here is a relaxed Tl3HgI6 crystal from the Alexandria database. Energies are from PBE.

```
Tl3HgI6
1.0
-4.6014 -2.2588 4.5821
-5.8060 -5.9905 -8.7836
8.1082 -7.9470 4.2249
I Hg Tl
12 2 6
Cartesian
-2.3944 -6.3267 1.7271
0.5295 -9.6563 -2.1362
-0.2097 -5.1810 -0.6724
-8.0212 -7.6135 -4.9402
-5.5580 -5.8518 -1.3609
-1.6551 -10.8020 0.2633
6.4975 -8.2021 4.1914
2.1639 -8.9811 4.3846
3.0870 -5.6145 2.2794
-4.8225 -10.3050 -2.8174
-3.4833 -6.7342 -5.3369
3.8225 -10.0677 0.8229
-5.5229 -7.6345 -3.6144
5.0452 -7.6676 1.8239
-1.8664 -12.2126 -3.1849
0.7879 -8.1611 1.1829
-3.3348 -3.3229 -0.2773
-0.8650 -13.8063 2.1933
-4.7247 -8.8389 0.4712
-2.3334 -4.9166 5.1009
```

Summary:
The space group is Cmc2_1, No. 36. As for the total magnetic moment: 0.00 μB per formula unit. For the volume, the calculation gives 48.855 A^3/atom. For the total energy, the calculation gives -42.3 eV/cell. The energy relative to the elements, uncorrected is -446.6 meV/atom.



[3]
Here is a relaxed RhIBr crystal from the Alexandria database. Energies are from PBE.

```
RhIBr
1.0
3.8080 0.0000 0.0000
0.0000 5.7201 0.0000
0.0000 0.0000 7.9027
I Rh Br
2 2 2
Cartesian
1.9040 0.0000 3.1297
0.0000 2.8601 5.1099
0.0000 0.0000 1.3525
1.9040 2.8601 3.3032
1.9040 0.0000 7.5669
0.0000 2.8601 1.5531
```

Summary:
The space group is Pmm2, No. 25. As for the total magnetic moment: 0.00 μB per formula unit. For the volume, the calculation gives 28.690 A^3/atom. For the distance to the lowest polymorph of the same formula, the calculation gives 0 meV per atom. For the total energy, the calculation gives -22.0 eV/cell. The energy relative to the elements, uncorrected is -147.3 meV/atom.



[4]
Here is a relaxed InFe3Br crystal from the Alexandria database. Energies are from PBE.

```
InFe3Br
1.0
4.4574 0.0000 0.0000
0.0000 4.4574 0.0000
0.0000 0.0000 4.4574
Fe Br In
3 1 1
Cartesian
2.2287 0.0000 0.0000
0.0000 2.2287 0.0000
0.0000 0.0000 2.2287
0.0000 0.0000 0.0000
2.2287 2.2287 2.2287
```

Summary:
The space group is Pm-3m, No. 221. As for the total magnetic moment: 6.24 μB per formula unit. For the volume, the calculation gives 17.712 A^3/atom. For the distance to the lowest polymorph of the same formula, the calculation gives 0 meV per atom. For the total energy, the calculation gives -24.8 eV/cell. The energy relative to the elements, uncorrected is 1003.0 meV/atom.



[5]
Here is a relaxed MgH6IrPd2 crystal from the Alexandria database. Energies are from PBE.

```
MgH6IrPd2
1.0
-3.2944 3.1467 1.6711
-0.7853 -4.4330 0.6187
4.9785 -0.6638 2.7229
H Pd Ir Mg
6 2 1 1
Cartesian
3.3684 -1.0080 2.2804
-2.4093 -1.3667 2.9223
-1.3331 -2.8748 1.4735
2.2712 1.3627 3.5079
-0.8142 -1.0446 1.2180
0.8570 -0.9075 3.7667
1.8190 -0.0219 2.4659
-0.3566 -1.9478 2.6279
-0.0232 0.0608 0.1960
-1.8339 0.6677 2.3249
```

Summary:
The space group is P1, No. 1. As for the total magnetic moment: 0.00 μB per formula unit. For the volume, the calculation gives 9.258 A^3/atom. For the total energy, the calculation gives -42.3 eV/cell.



[6]
Here is a relaxed LiLaErPd crystal from the Alexandria database. Energies are from PBE.

```
LiLaErPd
1.0
-2.0587 -0.4507 -4.6905
2.0771 -3.2298 -3.4200
-2.4889 -4.3040 -1.3128
La Li Er Pd
1 1 1 1
Cartesian
-0.6176 -1.9961 -2.3558
0.0000 0.0000 0.0000
-1.8529 -5.9884 -7.0674
-1.2353 -3.9922 -4.7116
```

Summary:
The space group is F-43m, No. 216. As for the total magnetic moment: 0.00 μB per formula unit. For the volume, the calculation gives 24.037 A^3/atom. For the total energy, the calculation gives -18.0 eV/cell. The energy of formation comes out at -34.6 kJ per mole of atoms.